Entry 1:
First-principles (PBE-GGA) data for an optimized crystal structure of Zr2MoBr, as listed in Alexandria via LeMat-Bulk. Values from VASP.

Structure (Quantum ESPRESSO input):
```
&SYSTEM
  ibrav = 0, nat = 4, ntyp = 3
/
ATOMIC_SPECIES
Zr 91.22 Zr.upf
Br 79.90 Br.upf
Mo 95.94 Mo.upf
CELL_PARAMETERS angstrom
5.460 0.009 -0.015
4.470 3.135 -0.015
-0.420 -0.133 4.714
ATOMIC_POSITIONS angstrom
Zr 7.028 2.225 3.056
Br 4.365 1.382 2.846
Zr 0.184 0.058 0.455
Mo 2.690 0.852 0.669
```

Output
formation energy from raw total energies = 50 meV/atom
distance to the lowest polymorph of the same formula = 388 meV/atom
E_tot = -29.4 eV for the cell shown

=====

Entry 2:
First-principles (PBE-GGA) data for an optimized crystal structure of LaTi3Bi, as listed in Alexandria via LeMat-Bulk. Values from VASP.

Structure (Quantum ESPRESSO input):
```
&SYSTEM
  ibrav = 0, nat = 5, ntyp = 3
/
ATOMIC_SPECIES
Bi 208.98 Bi.upf
Ti 47.87 Ti.upf
La 138.91 La.upf
CELL_PARAMETERS angstrom
-1.771 2.043 -4.062
2.647 -3.080 -2.704
-3.696 -3.185 0.010
ATOMIC_POSITIONS angstrom
Bi -1.410 -2.111 -3.378
Ti -0.886 1.021 -2.031
La 0.000 0.000 0.000
Ti 1.324 -1.540 -1.352
Ti -1.848 -1.593 0.005
```

Output
distance to the lowest polymorph of the same formula = 266 meV/atom
formation enthalpy at 0 K = 104 kJ per mole of atoms
E_tot = -27.1 eV for the cell shown

=====

Entry 3:
First-principles (PBE-GGA) data for an optimized crystal structure of TbDyGe, as listed in Alexandria via LeMat-Bulk. Values from VASP.

Structure (Quantum ESPRESSO input):
```
&SYSTEM
  ibrav = 0, nat = 12, ntyp = 3
/
ATOMIC_SPECIES
Ge 72.64 Ge.upf
Dy 162.50 Dy.upf
Tb 158.93 Tb.upf
CELL_PARAMETERS angstrom
-0.638 -0.398 -4.279
-2.784 -5.089 0.889
-11.811 6.661 1.141
ATOMIC_POSITIONS angstrom
Ge -2.369 0.509 -3.003
Dy -7.217 2.125 -0.224
Dy -13.998 2.240 -1.429
Tb -3.725 1.674 -0.703
Dy -8.016 -0.952 -2.024
Tb -4.409 -1.649 -2.497
Ge -12.864 0.664 0.754
Ge -5.783 -0.516 -0.192
Tb -10.824 2.823 0.249
Ge -9.451 1.690 -2.056
Tb -11.508 -0.500 -1.546
Dy -1.236 -1.067 -0.819
```

Output
distance to the lowest polymorph of the same formula = 107 meV/atom
formation enthalpy at 0 K = -48 kJ per mole of atoms
E_tot = -61.4 eV for the cell shown

=====

Entry 4:
First-principles (PBE-GGA) data for an optimized crystal structure of YPa2Ir2, as listed in Alexandria via LeMat-Bulk. Values from VASP.

Structure (Quantum ESPRESSO input):
```
&SYSTEM
  ibrav = 0, nat = 10, ntyp = 3
/
ATOMIC_SPECIES
Pa 231.04 Pa.upf
Ir 192.22 Ir.upf
Y 88.91 Y.upf
CELL_PARAMETERS angstrom
3.690 0.000 0.972
1.638 7.383 1.274
-0.248 -0.213 8.490
ATOMIC_POSITIONS angstrom
Pa 4.029 2.395 7.215
Pa 1.051 4.774 3.521
Ir 3.387 5.979 2.121
Pa 1.666 4.502 8.701
Ir 1.693 1.190 8.615
Y 1.138 0.371 3.195
Pa 3.414 2.667 2.036
Ir 2.729 2.385 4.648
Y 3.942 6.798 7.542
Ir 2.351 4.784 6.089
```

Output
formation enthalpy at 0 K = -56 kJ per mole of atoms
E_tot = -92.1 eV for the cell shown

=====

Entry 5:
First-principles (PBE-GGA) data for an optimized crystal structure of PrNd2HoSe5, as listed in Alexandria via LeMat-Bulk. Values from VASP.

Structure (Quantum ESPRESSO input):
```
&SYSTEM
  ibrav = 0, nat = 9, ntyp = 4
/
ATOMIC_SPECIES
Ho 164.93 Ho.upf
Se 78.96 Se.upf
Pr 140.91 Pr.upf
Nd 144.24 Nd.upf
CELL_PARAMETERS angstrom
-2.876 3.573 -2.289
-2.773 -3.676 -2.253
-6.919 -0.057 8.608
ATOMIC_POSITIONS angstrom
Ho -3.460 -0.028 4.304
Se -4.898 1.758 3.160
Se -5.175 -0.042 6.438
Pr 0.000 0.000 0.000
Se -4.846 -1.866 3.177
Se -1.744 -0.014 2.169
Se -2.825 -0.051 -2.271
Nd -7.453 -0.089 3.486
Nd -5.116 -0.070 0.579
```

Output
formation energy from raw total energies = -1300 meV/atom
E_tot = -48.0 eV for the cell shown

=====

Entry 6:
First-principles (PBE-GGA) data for an optimized crystal structure of Fe2ReNi, as listed in Alexandria via LeMat-Bulk. Values from VASP.

Structure (Quantum ESPRESSO input):
```
&SYSTEM
  ibrav = 0, nat = 4, ntyp = 3
/
ATOMIC_SPECIES
Re 186.21 Re.upf
Ni 58.69 Ni.upf
Fe 55.84 Fe.upf
CELL_PARAMETERS angstrom
-0.876 -2.445 0.000
3.372 -1.208 -0.501
0.665 -0.237 5.051
ATOMIC_POSITIONS angstrom
Re 1.753 -2.007 3.584
Ni 0.326 -0.116 2.478
Fe 1.414 -1.886 1.016
Fe 0.665 -0.237 5.050
```

Output
formation enthalpy at 0 K = 7 kJ per mole of atoms
E_tot = -34.9 eV for the cell shown

=====

Entry 7:
First-principles (PBE-GGA) data for an optimized crystal structure of Rb6SBr2Cl2, as listed in Alexandria via LeMat-Bulk. Values from VASP.

Structure (Quantum ESPRESSO input):
```
&SYSTEM
  ibrav = 0, nat = 11, ntyp = 4
/
ATOMIC_SPECIES
Br 79.90 Br.upf
Rb 85.47 Rb.upf
Cl 35.45 Cl.upf
S 32.06 S.upf
CELL_PARAMETERS angstrom
-5.751 4.471 4.165
-2.541 -6.062 -5.216
3.106 -4.754 6.400
ATOMIC_POSITIONS angstrom
Br -3.103 -4.218 -3.574
Rb -5.031 -4.378 -0.598
Rb -4.169 -4.659 3.803
Rb 0.936 -5.548 2.758
Rb -6.122 -0.797 2.591
Rb -0.155 -1.968 5.947
Br -5.189 2.627 2.523
Cl -3.102 -1.503 4.161
Rb -1.017 -1.687 1.546
Cl -2.084 -4.842 1.188
S 1.553 -2.377 3.200
```

Output
formation energy from raw total energies = -1581 meV/atom
E_tot = -34.4 eV for the cell shown

=====

Entry 8:
First-principles (PBE-GGA) data for an optimized crystal structure of ScCuI2N, as listed in Alexandria via LeMat-Bulk. Values from VASP.

Structure (Quantum ESPRESSO input):
```
&SYSTEM
  ibrav = 0, nat = 5, ntyp = 4
/
ATOMIC_SPECIES
I 126.90 I.upf
Sc 44.96 Sc.upf
N 14.01 N.upf
Cu 63.55 Cu.upf
CELL_PARAMETERS angstrom
5.648 0.000 0.000
0.000 5.648 0.000
0.000 0.000 3.657
ATOMIC_POSITIONS angstrom
I 0.000 2.824 0.000
Sc 2.824 2.824 1.828
I 2.824 0.000 0.000
N 0.000 0.000 1.828
Cu 0.000 0.000 0.000
```

Output
formation energy from raw total energies = 404 meV/atom
distance to the lowest polymorph of the same formula = 243 meV/atom
E_tot = -19.8 eV for the cell shown

=====

Entry 9:
First-principles (PBE-GGA) data for an optimized crystal structure of AcNd2AgTe5, as listed in Alexandria via LeMat-Bulk. Values from VASP.

Structure (Quantum ESPRESSO input):
```
&SYSTEM
  ibrav = 0, nat = 18, ntyp = 4
/
ATOMIC_SPECIES
Te 127.60 Te.upf
Nd 144.24 Nd.upf
Ag 107.87 Ag.upf
Ac 227.00 Ac.upf
CELL_PARAMETERS angstrom
-6.902 -0.056 5.136
5.096 -1.139 6.837
1.477 8.299 -5.131
ATOMIC_POSITIONS angstrom
Te -3.886 1.709 6.746
Nd 0.762 -0.408 3.165
Te -0.245 1.148 9.351
Nd 1.914 -0.989 7.622
Te 0.915 5.187 3.747
Te 3.558 5.395 0.095
Te -0.903 -0.597 5.986
Ag -3.164 3.823 2.995
Te -2.727 5.748 1.142
Te -1.243 1.917 3.095
Te -0.084 5.956 -2.509
Ac -0.616 3.253 6.414
Ag 2.835 3.281 3.846
Nd -2.567 -0.787 8.807
Te 2.399 1.357 5.699
Nd -3.720 -0.206 4.351
Ac 0.287 3.851 0.428
Te 0.000 0.000 0.000
```

Output
formation energy from raw total energies = -1164 meV/atom
E_tot = -85.4 eV for the cell shown

=====

Entry 10:
First-principles (PBE-GGA) data for an optimized crystal structure of Ac4IrRh3, as listed in Alexandria via LeMat-Bulk. Values from VASP.

Structure (Quantum ESPRESSO input):
```
&SYSTEM
  ibrav = 0, nat = 8, ntyp = 3
/
ATOMIC_SPECIES
Rh 102.91 Rh.upf
Ac 227.00 Ac.upf
Ir 192.22 Ir.upf
CELL_PARAMETERS angstrom
-1.948 0.952 3.500
-2.335 -3.690 -0.295
8.164 -5.651 6.081
ATOMIC_POSITIONS angstrom
Rh 3.607 -5.150 3.408
Ac 4.233 -3.128 5.628
Ac 1.132 -0.784 0.843
Ac 5.890 -6.730 5.108
Ac 0.805 -3.408 3.797
Ir -1.460 -1.841 2.110
Rh 6.489 -4.690 7.308
Rh 3.395 -2.350 2.529
```

Output
formation enthalpy at 0 K = -63 kJ per mole of atoms
E_tot = -52.6 eV for the cell shown

=====

Entry 11:
First-principles (PBE-GGA) data for an optimized crystal structure of BaMnCl4, as listed in Alexandria via LeMat-Bulk. Values from VASP.

Structure (Quantum ESPRESSO input):
```
&SYSTEM
  ibrav = 0, nat = 12, ntyp = 3
/
ATOMIC_SPECIES
Cl 35.45 Cl.upf
Mn 54.94 Mn.upf
Ba 137.33 Ba.upf
CELL_PARAMETERS angstrom
0.163 8.213 2.147
-6.749 3.926 2.283
1.297 2.356 7.678
ATOMIC_POSITIONS angstrom
Cl -0.968 2.263 2.102
Cl -1.636 7.038 4.488
Mn -2.686 5.194 5.517
Cl -4.381 9.246 9.225
Cl -3.676 6.337 7.326
Ba -2.604 9.301 6.591
Cl -0.054 8.241 8.162
Cl -5.177 9.241 4.727
Cl -4.177 3.986 4.147
Mn 0.082 4.107 1.074
Ba 0.000 0.000 0.000
Cl -1.254 3.416 6.107
```

Output
formation energy from raw total energies = -1814 meV/atom
distance to the lowest polymorph of the same formula = 0 meV/atom
E_tot = -58.7 eV for the cell shown

=====

What is the E_tot in the ninth record?
-85.4 eV for the cell shown

=====

Which value of E_tot does entry 5 give?
-48.0 eV for the cell shown